DFT (PBE-GGA) results for crystalline TeSe2Br at its relaxed geometry.

Values from the calculation:
- DOS(E_F) (states/eV/cell) = 3.5
- total moment (μB per formula unit) = 0.0
- SG = Pmmm, No. 47
- formation energy without anion corrections (kJ per mole of atoms) = 30.66

abc: 4.020 4.046 6.968
angles: 90.03 90.00 90.00
Element x y z (fractional)
1 Br 0.000 0.000 0.500
2 Se 0.000 0.000 0.000
3 Se 0.500 0.500 0.000
4 Te 0.500 0.500 0.500